DFT (PBE-GGA) results for a relaxed Cs3La2CeO6 crystal.

Cell: 6.5053 6.5053 7.2815 Å, 98.56 98.56 120.00°
With the nearest neighbours (Å) after each atom.
Positions (direct):
O  0.3787  0.0549  0.1644  1 Ce 2.40, 2 La 2.48
O  0.6213  0.9451  0.8356  1 Ce 2.40, 2 La 2.48
O  0.7311  0.7311  0.1651  1 Ce 2.40, 2 La 2.48
La  0.6667  0.3333  0.0000  6 O 2.48
La  0.3333  0.6667  0.0000  6 O 2.48
O  0.0549  0.3787  0.1644  1 Ce 2.40, 2 La 2.48
Cs  0.1663  0.8337  0.5000  6 O 3.16-3.23
O  0.2689  0.2689  0.8349  1 Ce 2.40, 2 La 2.48
O  0.9451  0.6213  0.8356  1 Ce 2.40, 2 La 2.48
Ce  0.0000  0.0000  0.0000  6 O 2.40
Cs  0.5000  0.5000  0.5000  6 O 3.16-3.22
Cs  0.8337  0.1663  0.5000  6 O 3.16-3.23

Computed properties:
Calculated total energy = -78.812 eV for the cell shown
Raw formation energy = -2559 meV/atom
Theoretical density = 5.95 g/cm³

DFT (PBE-GGA) results for a relaxed Cs2La2CeS6 crystal.

Cell: 7.3554 7.3554 8.5556 Å, 98.38 98.38 119.64°
With the nearest neighbours (Å) after each atom.
Positions (direct):
S  0.0570  0.3788  0.6773  1 Ce 2.77, 2 La 2.89-2.91
S  0.9430  0.6212  0.3227  1 Ce 2.77, 2 La 2.89-2.91
La  0.3344  0.6656  0.5000  6 S 2.89-2.91
S  0.6212  0.9430  0.3227  1 Ce 2.77, 2 La 2.89-2.91
Cs  0.8309  0.1691  0.0000  6 S 3.57-3.65
Cs  0.1691  0.8309  0.0000  6 S 3.57-3.65
La  0.6656  0.3344  0.5000  6 S 2.89-2.91
S  0.3788  0.0570  0.6773  1 Ce 2.77, 2 La 2.89-2.91
Ce  0.0000  0.0000  0.5000  6 S 2.74-2.77
S  0.7451  0.7451  0.6779  1 Ce 2.74, 2 La 2.90
S  0.2549  0.2549  0.3221  1 Ce 2.74, 2 La 2.90

Computed properties:
Calculated total energy = -62.890 eV for the cell shown
Raw formation energy = -1875 meV/atom
Theoretical density = 3.78 g/cm³

DFT (PBE-GGA) results for a relaxed Cs4La3CeS8 crystal.

Cell: 8.6714 9.4964 8.6709 Å, 117.19 120.00 90.00°
With the nearest neighbours (Å) after each atom.
Positions (direct):
Cs  0.0000  0.0000  0.0000  6 S 3.55-3.56
S  0.2710  0.3132  0.5420  3 La 2.92
S  0.7729  0.3143  0.5458  1 Ce 2.90, 2 La 2.93
S  0.7729  0.3143  0.0412  1 Ce 2.90, 2 La 2.93
La  0.5000  0.5000  0.5000  6 S 2.92-2.93
Ce  0.0000  0.5000  0.0000  6 S 2.90
S  0.2271  0.6857  0.9588  1 Ce 2.90, 2 La 2.93
La  0.0000  0.5000  0.5000  6 S 2.92-2.93
S  0.7317  0.6857  0.9588  1 Ce 2.90, 2 La 2.93
S  0.7290  0.6868  0.4580  3 La 2.92
S  0.2683  0.3143  0.0412  1 Ce 2.90, 2 La 2.93
Cs  0.5000  0.0000  0.5000  6 S 3.55-3.56
S  0.2271  0.6857  0.4542  1 Ce 2.90, 2 La 2.93
Cs  0.0000  0.0000  0.5000  6 S 3.55-3.56
La  0.5000  0.5000  0.0000  6 S 2.92-2.93
Cs  0.5000  0.0000  0.0000  6 S 3.58

Computed properties:
Calculated total energy = -86.794 eV for the cell shown
Raw formation energy = -1853 meV/atom
Theoretical density = 4.25 g/cm³

DFT (PBE-GGA) results for a relaxed Cs2LaCeS4 crystal.

Cell: 4.3176 7.4779 8.4385 Å, 107.17 90.00 90.00°
With the nearest neighbours (Å) after each atom.
Positions (direct):
S  0.5000  0.2319  0.1863  1 Ce 2.89, 2 La 2.92
Cs  0.5000  0.0000  0.5000  6 S 3.57
La  0.0000  0.0000  0.0000  6 S 2.92-2.93
Cs  0.0000  0.5000  0.5000  6 S 3.54
Ce  0.5000  0.5000  0.0000  6 S 2.89
S  0.0000  0.7249  0.1850  2 Ce 2.89, 1 La 2.93
S  0.0000  0.2751  0.8150  2 Ce 2.89, 1 La 2.93
S  0.5000  0.7681  0.8137  1 Ce 2.89, 2 La 2.92

Computed properties:
Calculated total energy = -43.619 eV for the cell shown
Raw formation energy = -1818 meV/atom
Theoretical density = 4.29 g/cm³

Q: What is the theoretical density in the third record?
A: 4.25 g/cm³

Q: Which of these has the highest raw formation energy?
A: Cs2LaCeS4